The following is a PBE with a Hubbard U calculation of V3WO after structural relaxation, from Alexandria via LeMat-Bulk.

## Properties
Space group: Pm-3m (221)
Energy above the most stable polymorph in this dataset in meV/atom: 0
Raw total energy in eV/atom: -6.642

```
5
Lattice="4.222 0.000 0.000 0.000 4.222 0.000 0.000 0.000 4.222" Properties=species:S:1:pos:R:3 pbc="T T T"
O 0.000 0.000 0.000
W 2.111 2.111 2.111
V 0.000 0.000 2.111
V 2.111 0.000 0.000
V 0.000 2.111 0.000
```